#a
First-principles (PBE with a Hubbard U) data for a relaxed structure of VSnF2, as listed in the Alexandria database.

Computed properties:
Size of the total moment in μB/atom: 0.748
Space-group type: R-3m (166)
N(E_F) in states/eV per cell: 1.9

Cell: 9.5632 9.5632 9.5632 Å, 19.66 19.66 19.66°
With the nearest neighbours (Å) after each atom.
Atoms (fractional coordinates):
V1 0.0000 0.0000 0.0000  6 F 2.13
Sn1 0.5000 0.5000 0.5000  6 Sn 3.27
F1 0.3682 0.3682 0.3682  3 V 2.13
F2 0.6318 0.6318 0.6318  3 V 2.13

#b
First-principles (PBE with a Hubbard U) data for a relaxed structure of VSnF2, as listed in the Alexandria database.

Computed properties:
Size of the total moment in μB/atom: 0.734
Space-group type: I-42d (122)
N(E_F) in states/eV per cell: 2.6

Cell: 6.8234 6.8234 6.8234 Å, 132.32 132.32 69.72°
With the nearest neighbours (Å) after each atom.
Atoms (fractional coordinates):
V1 0.0000 0.0000 0.0000  4 F 2.01
V2 0.7500 0.2500 0.5000  4 F 2.01
Sn1 0.2500 0.7500 0.5000  4 F 3.04
Sn2 0.5000 0.5000 0.0000  4 F 3.04
F1 0.3750 0.2055 0.3305  2 V 2.01
F2 0.7945 0.1250 0.1695  2 V 2.01
F3 0.8750 0.0445 0.6695  2 V 2.01
F4 0.9555 0.6250 0.8305  2 V 2.01

#c
First-principles (PBE with a Hubbard U) data for a relaxed structure of VSnF2, as listed in the Alexandria database.

Computed properties:
Size of the total moment in μB/atom: 0.000
Space-group type: Fm-3m (225)
N(E_F) in states/eV per cell: 1.1

Cell: 4.4008 4.4008 4.4008 Å, 60.00 60.00 60.00°
With the nearest neighbours (Å) after each atom.
Atoms (fractional coordinates):
V1 0.0000 0.0000 0.0000  8 F 2.69
Sn1 0.5000 0.5000 0.5000  8 F 2.69
F1 0.2500 0.2500 0.2500  4 Sn 2.69, 4 V 2.69
F2 0.7500 0.7500 0.7500  4 Sn 2.69, 4 V 2.69

Relative energies, in meV/atom, with the most stable structure set to zero: #a 0; #b 512; #c 1307.

#a
First-principles (PBE with a Hubbard U) data for a relaxed structure of V2SnF, as listed in the Alexandria database.

Computed properties:
Size of the total moment in μB/atom: 1.660
Space-group type: I-42d (122)
N(E_F) in states/eV per cell: 3.8

Cell: 7.3255 7.3255 7.3255 Å, 137.52 137.52 61.64°
With the nearest neighbours (Å) after each atom.
Atoms (fractional coordinates):
V1 0.3750 0.1926 0.3176  2 F 2.09
V2 0.8074 0.1250 0.1824  2 F 2.09
V3 0.8750 0.0574 0.6824  2 F 2.09
V4 0.9426 0.6250 0.8176  2 F 2.09
Sn1 0.2500 0.7500 0.5000  4 V 3.08
Sn2 0.5000 0.5000 0.0000  4 V 3.08
F1 0.0000 0.0000 0.0000  4 V 2.09
F2 0.7500 0.2500 0.5000  4 V 2.09

#b
First-principles (PBE with a Hubbard U) data for a relaxed structure of V2SnF, as listed in the Alexandria database.

Computed properties:
Size of the total moment in μB/atom: 1.250
Space-group type: Fm-3m (225)
N(E_F) in states/eV per cell: 3.0

Cell: 4.6601 4.6601 4.6601 Å, 60.00 60.00 60.00°
With the nearest neighbours (Å) after each atom.
Atoms (fractional coordinates):
V1 0.2500 0.2500 0.2500  4 F 2.85, 4 Sn 2.85
V2 0.7500 0.7500 0.7500  4 F 2.85, 4 Sn 2.85
Sn1 0.0000 0.0000 0.0000  8 V 2.85
F1 0.5000 0.5000 0.5000  8 V 2.85

Relative energies, in meV/atom, with the most stable structure set to zero: #a 0; #b 274.

#a
First-principles (PBE with a Hubbard U) data for a relaxed structure of Sn3WF, as listed in the Alexandria database.

Computed properties:
Size of the total moment in μB/atom: 0.745
Space-group type: Pm-3m (221)
N(E_F) in states/eV per cell: 2.8

Cell: 4.8876 4.8876 4.8876 Å, 90.00 90.00 90.00°
With the nearest neighbours (Å) after each atom.
Atoms (fractional coordinates):
Sn1 0.0000 0.0000 0.5000  2 F 2.44
Sn2 0.0000 0.5000 0.0000  2 F 2.44
Sn3 0.5000 0.0000 0.0000  2 F 2.44
W1 0.5000 0.5000 0.5000  12 Sn 3.46
F1 0.0000 0.0000 0.0000  6 Sn 2.44

#b
First-principles (PBE with a Hubbard U) data for a relaxed structure of Sn3WF, as listed in the Alexandria database.

Computed properties:
Size of the total moment in μB/atom: 0.200
Space-group type: Pm-3m (221)
N(E_F) in states/eV per cell: 1.3

Cell: 5.2962 5.2962 5.2962 Å, 90.00 90.00 90.00°
With the nearest neighbours (Å) after each atom.
Atoms (fractional coordinates):
Sn1 0.0000 0.0000 0.5000  2 W 2.65
Sn2 0.0000 0.5000 0.0000  2 W 2.65
Sn3 0.5000 0.0000 0.0000  2 W 2.65
W1 0.0000 0.0000 0.0000  6 Sn 2.65
F1 0.5000 0.5000 0.5000  12 Sn 3.74

Relative energies, in meV/atom, with the most stable structure set to zero: #a 16; #b 0.

#a
First-principles (PBE with a Hubbard U) data for a relaxed structure of SnW3F, as listed in the Alexandria database.

Computed properties:
Size of the total moment in μB/atom: 0.053
Space-group type: Pm-3m (221)
N(E_F) in states/eV per cell: 4.0

Cell: 4.4193 4.4193 4.4193 Å, 90.00 90.00 90.00°
With the nearest neighbours (Å) after each atom.
Atoms (fractional coordinates):
Sn1 0.0000 0.0000 0.0000  12 W 3.12
W1 0.0000 0.5000 0.5000  2 F 2.21
W2 0.5000 0.0000 0.5000  2 F 2.21
W3 0.5000 0.5000 0.0000  2 F 2.21
F1 0.5000 0.5000 0.5000  6 W 2.21

#b
First-principles (PBE with a Hubbard U) data for a relaxed structure of SnW3F, as listed in the Alexandria database.

Computed properties:
Size of the total moment in μB/atom: 2.490
Space-group type: Pm-3m (221)
N(E_F) in states/eV per cell: 3.9

Cell: 5.6541 5.6541 5.6541 Å, 90.00 90.00 90.00°
With the nearest neighbours (Å) after each atom.
Atoms (fractional coordinates):
Sn1 0.0000 0.0000 0.0000  6 W 2.83
W1 0.0000 0.0000 0.5000  2 Sn 2.83
W2 0.0000 0.5000 0.0000  2 Sn 2.83
W3 0.5000 0.0000 0.0000  2 Sn 2.83
F1 0.5000 0.5000 0.5000  12 W 4.00

Relative energies, in meV/atom, with the most stable structure set to zero: #a 0; #b 729.